Entry from OQMD: YZnCoOs after structural relaxation (PBE).

Unit cell a=6.454 b=6.454 c=6.454 alpha=90.00 beta=90.00 gamma=90.00
Space group F-43m (No. 216)
Inequivalent atoms, fractional coordinates:
Y  0.000  0.000  0.000 (multiplicity 4)
Zn  0.250  0.250  0.250 (multiplicity 4)
Co  0.000  0.000  0.500 (multiplicity 4)
Os  0.250  0.250  0.750 (multiplicity 4)

DFT formation energy ... 0.28 eV/atom

Entry from OQMD: ZnCoOs2 after structural relaxation (PBE).

Unit cell a=6.003 b=6.003 c=6.003 alpha=90.00 beta=90.00 gamma=90.00
Space group F-43m (No. 216)
Inequivalent atoms, fractional coordinates:
Zn  0.000  0.000  0.000 (multiplicity 4)
Co  0.250  0.250  0.250 (multiplicity 4)
Os  0.000  0.000  0.500 (multiplicity 4)
Os  0.250  0.250  0.750 (multiplicity 4)

DFT formation energy ... 0.33 eV/atom

Entry from OQMD: ZrCo2Os after structural relaxation (PBE).

Unit cell a=6.174 b=6.174 c=6.174 alpha=90.00 beta=90.00 gamma=90.00
Space group F-43m (No. 216)
Inequivalent atoms, fractional coordinates:
Zr  0.000  0.000  0.000 (multiplicity 4)
Co  0.000  0.000  0.500 (multiplicity 4)
Co  0.250  0.250  0.250 (multiplicity 4)
Os  0.250  0.250  0.750 (multiplicity 4)

DFT formation energy ... 0.09 eV/atom

Entry from OQMD: ZrCoOs after structural relaxation (PBE).

Unit cell a=5.912 b=5.912 c=5.912 alpha=90.00 beta=90.00 gamma=90.00
Space group F-43m (No. 216)
Inequivalent atoms, fractional coordinates:
Zr  0.000  0.000  0.000 (multiplicity 4)
Co  0.250  0.250  0.750 (multiplicity 4)
Os  0.000  0.000  0.500 (multiplicity 4)

DFT formation energy ... 0.21 eV/atom

Entry from OQMD: CoP after structural relaxation (PBE).

Unit cell a=4.951 b=4.951 c=4.951 alpha=90.00 beta=90.00 gamma=90.00
Space group F-43m (No. 216)
Inequivalent atoms, fractional coordinates:
Co  0.000  0.000  0.000 (multiplicity 4)
P  0.250  0.250  0.750 (multiplicity 4)

Calculated total energy ... -0.4724 Ry/atom

Entry from OQMD: CoP3 after structural relaxation (PBE).

Unit cell a=3.725 b=3.725 c=3.725 alpha=90.00 beta=90.00 gamma=90.00
Space group Pm-3m (No. 221)
Inequivalent atoms, fractional coordinates:
Co  0.000  0.000  0.000 (multiplicity 1)
P  0.000  0.500  0.500 (multiplicity 3)

Calculated total energy ... -0.3847 Ry/atom

Entry from OQMD: CoP after structural relaxation (PBE).

Unit cell a=5.045 b=3.258 c=5.544 alpha=90.00 beta=90.00 gamma=90.00
Space group Pnma (No. 62)
Inequivalent atoms, fractional coordinates:
Co  0.001  0.250  0.197 (multiplicity 4)
P  0.191  0.250  0.582 (multiplicity 4)

Calculated total energy ... -0.5027 Ry/atom

Entry from OQMD: CoP after structural relaxation (PBE).

Unit cell a=5.052 b=3.246 c=5.542 alpha=90.00 beta=90.00 gamma=90.00
Space group Pnma (No. 62)
Inequivalent atoms, fractional coordinates:
Co  0.001  0.250  0.196 (multiplicity 4)
P  0.191  0.250  0.581 (multiplicity 4)

Calculated total energy ... -0.5027 Ry/atom

Entry from OQMD: CoP3 after structural relaxation (PBE).

Unit cell a=3.562 b=3.562 c=8.210 alpha=90.00 beta=90.00 gamma=90.00
Space group I4/mmm (No. 139)
Inequivalent atoms, fractional coordinates:
Co  0.000  0.000  0.000 (multiplicity 2)
P  0.000  0.000  0.500 (multiplicity 2)
P  0.000  0.500  0.250 (multiplicity 4)

Calculated total energy ... -0.3857 Ry/atom

Entry from OQMD: CoP3 after structural relaxation (PBE).

Unit cell a=5.868 b=5.868 c=5.868 alpha=90.00 beta=90.00 gamma=90.00
Space group Fm-3m (No. 225)
Inequivalent atoms, fractional coordinates:
Co  0.000  0.000  0.000 (multiplicity 4)
P  0.000  0.000  0.500 (multiplicity 4)
P  0.250  0.250  0.250 (multiplicity 8)

Calculated total energy ... -0.3900 Ry/atom

Entry from OQMD: CoP after structural relaxation (PBE).

Unit cell a=2.799 b=2.799 c=2.799 alpha=90.00 beta=90.00 gamma=90.00
Space group Pm-3m (No. 221)
Inequivalent atoms, fractional coordinates:
Co  0.000  0.000  0.000 (multiplicity 1)
P  0.500  0.500  0.500 (multiplicity 1)

Calculated total energy ... -0.4648 Ry/atom

Entry from OQMD: CoP after structural relaxation (PBE).

Unit cell a=2.720 b=2.720 c=2.969 alpha=90.00 beta=90.00 gamma=90.00
Space group P4/mmm (No. 123)
Inequivalent atoms, fractional coordinates:
Co  0.000  0.000  0.000 (multiplicity 1)
P  0.500  0.500  0.500 (multiplicity 1)

Calculated total energy ... -0.4622 Ry/atom